Record 1
Computed, not measured: crystalline NiOs3Pt at its relaxed geometry at the PBE level of DFT.

Relative energy among the computed polymorphs ... 0.0000 eV/atom
N(E_F) ... 9.51 states/eV per cell
E_form ... 1907 meV per atom

a = 4.371 Å, b = 4.371 Å, c = 4.371 Å
α = 90.00°, β = 90.00°, γ = 90.00°
Last column: magnetic moment on the atom in μB.
Fractional positions:
Ni: 0.000 0.000 0.000  0.05
Os: 0.000 0.500 0.000  0.20
Os: 0.000 0.000 0.500  0.16
Os: 0.500 0.000 0.000  0.21
Pt: 0.500 0.500 0.500  0.05

Record 2
Computed, not measured: crystalline MnFe2Rh at its relaxed geometry at the PBE level of DFT.

N(E_F) ... 4.20 states/eV per cell
E_form ... 91 meV per atom

a = 4.112 Å, b = 2.630 Å, c = 4.849 Å
α = 78.32°, β = 90.00°, γ = 90.00°
Last column: magnetic moment on the atom in μB.
Fractional positions:
Fe: 0.000 0.998 0.008  2.60
Fe: 0.000 0.502 0.492  2.60
Mn: 0.500 0.250 0.250  2.83
Rh: 0.500 0.750 0.750  0.67

Record 3
Computed, not measured: crystalline Sr2Np3S8 at its relaxed geometry at the PBE level of DFT.

N(E_F) ... 21.47 states/eV per cell
Energy relative to the elements, uncorrected ... -1459 meV/atom

a = 4.693 Å, b = 9.660 Å, c = 8.603 Å
α = 124.14°, β = 90.00°, γ = 90.00°
Last column: magnetic moment on the atom in μB.
Fractional positions:
Sr: 0.500 0.267 0.534  -0.01
Sr: 0.500 0.733 0.466  -0.01
Np: 0.500 0.000 0.000  3.15
Np: 0.000 0.280 0.000  3.36
Np: 0.000 0.720 0.000  3.36
S: 0.000 0.614 0.228  -0.10
S: 0.000 0.386 0.772  -0.10
S: 0.000 0.105 0.210  -0.14
S: 0.000 0.895 0.790  -0.14
S: 0.500 0.656 0.780  -0.12
S: 0.500 0.124 0.780  -0.12
S: 0.500 0.876 0.220  -0.12
S: 0.500 0.344 0.220  -0.12

Record 4
Computed, not measured: crystalline ScAgN2 at its relaxed geometry at the PBE level of DFT.

Relative energy among the computed polymorphs ... 0.3512 eV/atom
N(E_F) ... 2.51 states/eV per cell
Energy relative to the elements, uncorrected ... 418 meV/atom

a = 4.011 Å, b = 4.011 Å, c = 4.011 Å
α = 60.00°, β = 60.00°, γ = 60.00°
Fractional positions:
Sc: 0.000 0.000 0.000
Ag: 0.500 0.500 0.500
N: 0.250 0.250 0.250
N: 0.750 0.750 0.750

Record 5
Computed, not measured: crystalline NaMg6TiO8 at its relaxed geometry at the PBE level of DFT.

Relative energy among the computed polymorphs ... 0.0000 eV/atom
N(E_F) ... 3.24 states/eV per cell
Energy relative to the elements, uncorrected ... -2552 meV/atom

a = 4.261 Å, b = 4.261 Å, c = 8.704 Å
α = 90.00°, β = 90.00°, γ = 90.00°
Last column: magnetic moment on the atom in μB.
Fractional positions:
Na: 0.500 0.500 0.000  0.00
Mg: 0.000 0.000 0.500  0.00
Mg: 0.500 0.500 0.500  0.00
Mg: 0.000 0.500 0.253  0.00
Mg: 0.000 0.500 0.747  0.00
Mg: 0.500 0.000 0.253  0.00
Mg: 0.500 0.000 0.747  0.00
Ti: 0.000 0.000 0.000  0.90
O: 0.000 0.000 0.245  0.01
O: 0.000 0.000 0.755  0.01
O: 0.500 0.500 0.265  0.00
O: 0.500 0.500 0.735  0.00
O: 0.000 0.500 0.000  -0.03
O: 0.000 0.500 0.500  0.00
O: 0.500 0.000 0.000  -0.03
O: 0.500 0.000 0.500  0.00

Record 6
Computed, not measured: crystalline TlPPt3 at its relaxed geometry at the PBE level of DFT.

Relative energy among the computed polymorphs ... 0.0000 eV/atom
N(E_F) ... 6.08 states/eV per cell
E_form ... -107 meV per atom

a = 7.034 Å, b = 5.652 Å, c = 5.652 Å
α = 120.00°, β = 89.99°, γ = 90.01°
Fractional positions:
Tl: 0.750 0.667 0.333
Tl: 0.250 0.333 0.667
P: 0.000 0.000 0.000
P: 0.500 0.000 0.000
Pt: 0.750 0.657 0.829
Pt: 0.250 0.829 0.657
Pt: 0.250 0.343 0.171
Pt: 0.750 0.171 0.343
Pt: 0.250 0.829 0.171
Pt: 0.750 0.171 0.829

Record 7
Computed, not measured: crystalline PmNdSm3Y at its relaxed geometry at the PBE level of DFT.

N(E_F) ... 20.75 states/eV per cell
E_form ... 116 meV per atom

a = 5.973 Å, b = 6.427 Å, c = 11.936 Å
α = 90.00°, β = 90.00°, γ = 117.69°
Fractional positions:
Pm: 0.524 0.049 0.750
Pm: 0.476 0.951 0.250
Nd: 0.000 0.000 0.500
Nd: 0.000 0.000 0.000
Sm: 0.672 0.344 0.478
Sm: 0.328 0.656 0.522
Sm: 0.328 0.656 0.978
Sm: 0.672 0.344 0.022
Sm: 0.146 0.291 0.750
Sm: 0.854 0.709 0.250
Y: 0.831 0.663 0.750
Y: 0.169 0.337 0.250

Record 8
Computed, not measured: crystalline Cd2IrRh at its relaxed geometry at the PBE level of DFT.

N(E_F) ... 4.42 states/eV per cell
E_form ... 71 meV per atom

a = 2.893 Å, b = 2.893 Å, c = 8.334 Å
α = 90.00°, β = 90.00°, γ = 90.00°
Last column: magnetic moment on the atom in μB.
Fractional positions:
Cd: 0.000 0.000 0.973  0.00
Cd: 0.500 0.500 0.275  0.00
Ir: 0.000 0.000 0.523  0.36
Rh: 0.500 0.500 0.728  0.41

Record 9
Computed, not measured: crystalline Pu3SbH4 at its relaxed geometry at the PBE level of DFT.

N(E_F) ... 12.88 states/eV per cell
Total energy ... -7.78 eV per atom

a = 3.468 Å, b = 5.315 Å, c = 7.189 Å
α = 125.30°, β = 103.96°, γ = 90.00°
Last column: magnetic moment on the atom in μB.
Fractional positions:
Pu: 0.253 0.655 0.506  -0.36
Pu: 0.747 0.345 0.494  -0.36
Pu: 0.500 0.500 0.000  4.83
Sb: 0.000 0.000 0.000  -0.05
H: 0.705 0.842 0.410  -0.01
H: 0.295 0.158 0.590  -0.01
H: 0.891 0.323 0.782  -0.02
H: 0.109 0.677 0.218  -0.02

Record 10
Computed, not measured: crystalline AcSm8Ho2 at its relaxed geometry at the PBE level of DFT.

Relative energy among the computed polymorphs ... 0.0036 eV/atom
N(E_F) ... 15.91 states/eV per cell
E_form ... 128 meV per atom

a = 5.600 Å, b = 8.473 Å, c = 9.527 Å
α = 116.40°, β = 107.09°, γ = 90.00°
Fractional positions:
Ac: 0.500 0.000 0.000
Sm: 0.645 0.848 0.291
Sm: 0.355 0.557 0.709
Sm: 0.162 0.162 0.323
Sm: 0.000 0.298 0.000
Sm: 0.838 0.838 0.677
Sm: 0.645 0.443 0.291
Sm: 0.355 0.152 0.709
Sm: 0.000 0.702 0.000
Ho: 0.200 0.700 0.400
Ho: 0.800 0.300 0.600

Record 11
Computed, not measured: crystalline Pm2OsPb at its relaxed geometry at the PBE level of DFT.

Relative energy among the computed polymorphs ... 0.2491 eV/atom
N(E_F) ... 3.74 states/eV per cell
E_form ... -16 meV per atom

a = 3.985 Å, b = 3.985 Å, c = 8.933 Å
α = 77.11°, β = 77.11°, γ = 60.00°
Fractional positions:
Pb: 0.500 0.500 0.500
Os: 0.000 0.000 0.000
Pm: 0.730 0.730 0.809
Pm: 0.270 0.270 0.191

Record 12
Computed, not measured: crystalline BaHPd at its relaxed geometry at the PBE level of DFT.

Relative energy among the computed polymorphs ... 0.0000 eV/atom
N(E_F) ... 1.05 states/eV per cell

a = 4.083 Å, b = 4.083 Å, c = 3.709 Å
α = 90.00°, β = 90.00°, γ = 90.00°
Fractional positions:
Ba: 0.000 0.000 0.000
H: 0.500 0.500 0.000
Pd: 0.500 0.500 0.500

no.,total moment (μB/f.u.)
1,0.69
2,8.71
3,9.00
4,0.00
5,1.00
6,0.00
7,0.00
8,0.78
9,4.15
10,0.00
11,0.00
12,0.00